a | Ba2V2S (GGA-PBE, relaxed); spin magnetization = 0.0 μB/f.u.
1.0
3.595 0.000 0.000
0.000 3.595 0.000
1.797 1.797 10.274
Ba S V
2 1 2
Direct
0.592 0.592 0.815
0.408 0.408 0.185
0.000 0.000 0.000
0.250 0.750 0.500
0.750 0.250 0.500

---

b | Ba2V2S (GGA-PBE, relaxed); spin magnetization = 0.0 μB/f.u.
1.0
-5.320 -0.548 6.884
-5.084 -5.572 -4.372
2.556 -3.654 1.685
V Ba S
4 4 2
Direct
0.073 0.573 0.500
0.427 0.073 0.500
0.927 0.427 0.500
0.573 0.927 0.500
0.294 0.794 0.000
0.206 0.294 0.000
0.794 0.706 0.000
0.706 0.206 0.000
0.500 0.500 0.000
0.000 0.000 0.000

---

Q: What are the energies relative to the best structure? A: a 0.0; b 44.5, in kJ/mol of atoms.